{"formula": "TbThZnCd", "functional": "GGA-PBE", "state": "relaxed", "lattice": [[-4.6881, -0.5532, 2.3462], [-1.9687, -4.8151, 0.8529], [-0.2828, -1.9004, 4.9089]], "species": ["Zn", "Tb", "Th", "Cd"], "fractional_positions": [[0.2500, 0.2500, 0.2500], [0.5000, 0.5000, 0.5000], [0.0000, 0.0000, 0.0000], [0.7500, 0.7500, 0.7500]], "formation_energy_mev_per_atom": -176, "n_ef_per_ev_cell": 6.11, "final_energy_ev_per_atom": -3.736}